Entry 1:
A plane-wave DFT calculation with SCAN was carried out for Li13Mn8O24 at its PBEsol-relaxed geometry.

Lattice parameters (Å, degrees): 4.8724 8.4619 9.9158 72.85 80.17 89.69
With the nearest neighbours (Å) after each atom.
Space group P-1 (No. 2)
Symmetry-distinct sites (fractional):
Li 0.0000 0.0000 0.0000  6 O 2.03-2.06
Li 0.2259 0.9220 0.7444  5 O 1.97-2.12
Li 0.2403 0.9248 0.2537  5 O 1.97-2.11
Li 0.2455 0.2485 0.2493  6 O 1.93-2.15
Li 0.2538 0.2563 0.7440  5 O 1.94-2.15
Li 0.2680 0.5776 0.2486  6 O 1.98-2.20
Li 0.2774 0.5762 0.7508  6 O 1.99-2.21
Mn 0.0044 0.6629 0.0002  6 O 1.84-1.92
Mn 0.0057 0.6655 0.5011  6 O 1.85-1.89
Mn 0.4987 0.1665 0.4989  6 O 1.86-1.88
Mn 0.4992 0.8308 0.0002  6 O 1.86-1.90
O 0.0883 0.4604 0.6133  2 Mn 1.85-1.88, 1 Li 1.98
O 0.0906 0.4607 0.1145  2 Mn 1.84-1.87, 1 Li 2.01
O 0.1396 0.1405 0.1149  2 Mn 1.90-1.92, 4 Li 1.96-2.06
O 0.1419 0.7811 0.1131  2 Mn 1.88-1.90, 2 Li 2.01-2.05
O 0.1447 0.1475 0.6136  2 Mn 1.88, 3 Li 1.94-2.08
O 0.1505 0.7739 0.6147  2 Mn 1.86-1.87, 1 Li 1.99
O 0.3497 0.3525 0.3836  2 Mn 1.88-1.89, 3 Li 1.93-2.06
O 0.3531 0.3543 0.8850  2 Mn 1.87-1.89, 3 Li 1.95-2.05
O 0.3544 0.7232 0.8871  2 Mn 1.86, 1 Li 2.03
O 0.3551 0.7241 0.3880  2 Mn 1.85-1.87, 1 Li 1.97
O 0.3968 0.0381 0.8888  2 Mn 1.89-1.90, 2 Li 2.03
O 0.4114 0.0378 0.3866  2 Mn 1.86-1.87, 1 Li 1.97

---

Entry 2:
A plane-wave DFT calculation with SCAN was carried out for LiMn4O8 at its PBEsol-relaxed geometry.

Lattice parameters (Å, degrees): 13.1622 2.8579 9.2947 90.00 133.20 90.00
With the nearest neighbours (Å) after each atom.
Space group C2 (No. 5)
Symmetry-distinct sites (fractional):
Li 0.0000 0.0000 0.0000  4 O 2.27-2.32
Mn 0.1456 0.5025 0.4720  6 O 1.84-1.93
Mn 0.1694 0.0024 0.8210  6 O 1.84-1.93
O 0.0462 0.5024 0.7271  3 Mn 1.84-1.87
O 0.1490 0.0025 0.6044  3 Mn 1.84-1.87
O 0.1545 0.0024 0.3412  3 Mn 1.92-1.93
O 0.1955 0.0024 0.0523  3 Mn 1.93

Properties
ΔE to the lowest computed polymorph	0.60	eV/f.u.

---

Entry 3:
A plane-wave DFT calculation with SCAN was carried out for Li3Mn8O16 at its PBEsol-relaxed geometry.

Lattice parameters (Å, degrees): 5.6868 11.3779 8.0420 90.00 90.00 90.00
With the nearest neighbours (Å) after each atom.
Space group Pmmn (No. 59, origin choice 2)
Symmetry-distinct sites (fractional):
Li 0.2500 0.0026 0.1272  4 O 1.91-1.94
Li 0.2500 0.7500 0.3792  4 O 1.90-1.93
Mn 0.0000 0.0000 0.5000  6 O 1.90-1.91
Mn 0.0003 0.2500 0.0003  6 O 1.89-1.93
Mn 0.2500 0.1250 0.7467  6 O 1.88-1.93
Mn 0.2500 0.6269 0.7510  6 O 1.89-1.93
O 0.0257 0.0002 0.7373  1 Li 1.91, 3 Mn 1.91-1.93
O 0.0256 0.2500 0.7613  3 Mn 1.91-1.93, 1 Li 1.93
O 0.0283 0.7500 0.7656  3 Mn 1.89
O 0.2500 0.1104 0.5140  3 Mn 1.88-1.90
O 0.2500 0.1380 0.9862  3 Mn 1.91-1.93, 1 Li 1.91
O 0.2500 0.6123 0.5137  1 Li 1.90, 3 Mn 1.91-1.92
O 0.2500 0.6374 0.9891  3 Mn 1.92, 1 Li 1.94

---

Entry 4:
A plane-wave DFT calculation with SCAN was carried out for Li3Mn2O5 at its PBEsol-relaxed geometry.

Lattice parameters (Å, degrees): 4.8646 4.9992 7.4408 71.32 70.92 80.53
With the nearest neighbours (Å) after each atom.
Space group P-1 (No. 2)
Symmetry-distinct sites (fractional):
Li 0.0000 0.0000 0.0000  6 O 2.03-2.04
Li 0.0987 0.5133 0.2901  6 O 1.99-2.16
Li 0.2874 0.4980 0.9055  6 O 2.02-2.13
Li 0.5000 0.5000 0.5000  6 O 2.00-2.09
Mn 0.1992 0.9991 0.6016  6 O 1.89-1.95
Mn 0.4038 0.0013 0.1930  6 O 1.89-1.97
O 0.0535 0.2289 0.1671  2 Mn 1.90-1.92, 4 Li 1.99-2.07
O 0.1487 0.7765 0.4428  3 Mn 1.93-1.97, 3 Li 2.08-2.16
O 0.2671 0.2258 0.7417  2 Mn 1.89-1.91, 3 Li 2.00-2.06
O 0.3671 0.7682 0.0470  2 Mn 1.89, 4 Li 2.02-2.11
O 0.4519 0.2235 0.3544  3 Mn 1.93-1.96, 3 Li 2.09-2.13

Properties
ΔE to the lowest computed polymorph	0.00	eV/f.u.

---

In order of appearance, raw formation energy = -2.167, -2.133, -2.223, -2.276 eV/atom.
In order of appearance, energy = -9.43, -11.77, -11.59, -9.76 eV/atom.
In order of appearance, total magnetic moment = 21.000, 22.000, 42.000, 10.000 μB per cell.